Record 1
Below is a relaxed structure of Tb2SmLu, with properties calculated at the PBE level.

Summary:
**Formation energy**: 0.15 eV/atom
**Crystal system**: cubic
**Total energy**: -4.48 eV/atom
**SG**: Fm-3m
**N(E_F)**: 2.457 states/eV/atom

Cell lengths 5.6616, 5.6616, 5.6616 Å; angles 60.00, 60.00, 60.00 degrees
With the nearest neighbours (Å) after each atom.
Fractional positions:
Lu 0.0000 0.0000 0.0000  8 Tb 3.47
Tb 0.2500 0.2500 0.2500  4 Sm 3.47, 4 Lu 3.47
Tb 0.7500 0.7500 0.7500  4 Sm 3.47, 4 Lu 3.47
Sm 0.5000 0.5000 0.5000  8 Tb 3.47

---

Record 2
Below is a relaxed structure of MgSiSb2, with properties calculated at the PBE level.

Summary:
**Crystal system**: tetragonal
**Formation energy from raw total energies**: -43 meV/atom
**Total energy**: -3.86 eV/atom
**SG**: I-42d
**N(E_F)**: 0.000 states/eV/atom

Cell lengths 6.4466, 6.4466, 7.5141 Å; angles 115.40, 115.40, 90.00 degrees
With the nearest neighbours (Å) after each atom.
Fractional positions:
Sb 0.1250 0.6547 0.7500  2 Si 2.62, 2 Mg 2.84
Sb 0.3453 0.3750 0.2500  2 Si 2.62, 2 Mg 2.84
Sb 0.9047 0.8750 0.2500  2 Si 2.62, 2 Mg 2.84
Sb 0.6250 0.0953 0.7500  2 Si 2.62, 2 Mg 2.84
Si 0.0000 0.0000 0.0000  4 Sb 2.62
Si 0.2500 0.7500 0.5000  4 Sb 2.62
Mg 0.5000 0.5000 0.0000  4 Sb 2.84
Mg 0.7500 0.2500 0.5000  4 Sb 2.84

---

Record 3
Below is a relaxed structure of Sr2CaI, with properties calculated at the PBE level.

Summary:
**Crystal system**: tetragonal
**Formation energy from raw total energies**: -324 meV/atom
**Total energy**: -2.05 eV/atom
**SG**: I-42d
**N(E_F)**: 1.517 states/eV/atom

Cell lengths 10.0939, 10.0939, 8.1638 Å; angles 51.81, 51.81, 90.00 degrees
With the nearest neighbours (Å) after each atom.
Fractional positions:
I 0.0000 0.0000 0.0000  4 Sr 3.36
I 0.7500 0.2500 0.5000  4 Sr 3.36
Sr 0.6787 0.1250 0.2500  2 I 3.36
Sr 0.0713 0.6250 0.2500  2 I 3.36
Sr 0.3750 0.3213 0.7500  2 I 3.36
Sr 0.8750 0.9287 0.7500  2 I 3.36
Ca 0.5000 0.5000 0.0000  2 I 3.96, 8 Sr 4.09-4.37
Ca 0.2500 0.7500 0.5000  2 I 3.96, 8 Sr 4.09-4.37

---

Record 4
Below is a relaxed structure of CsZnSn3, with properties calculated at the PBE level.

Summary:
**Formation energy**: 1.48 eV/atom
**Crystal system**: cubic
**Total energy**: -1.34 eV/atom
**SG**: Pm-3m
**N(E_F)**: 1.799 states/eV/atom

Cell lengths 6.3571, 6.3571, 6.3571 Å; angles 90.00, 90.00, 90.00 degrees
With the nearest neighbours (Å) after each atom.
Fractional positions:
Cs 0.0000 0.0000 0.0000  6 Sn 3.18
Zn 0.5000 0.5000 0.5000  12 Sn 4.50
Sn 0.0000 0.5000 0.0000  2 Cs 3.18
Sn 0.0000 0.0000 0.5000  2 Cs 3.18
Sn 0.5000 0.0000 0.0000  2 Cs 3.18

---

Record 5
Below is a relaxed structure of KScGaTe3, with properties calculated at the PBE level.

Summary:
**Crystal system**: monoclinic
**Formation energy from raw total energies**: -866 meV/atom
**Total energy**: -4.18 eV/atom
**SG**: P2_1/m
**N(E_F)**: 0.235 states/eV/atom

Cell lengths 4.3269, 9.3917, 10.7023 Å; angles 106.34, 90.00, 90.00 degrees
With the nearest neighbours (Å) after each atom.
Fractional positions:
K 0.2500 0.1959 0.2413  5 Te 3.54-3.70, 2 Ga 3.89
K 0.7500 0.8041 0.7587  5 Te 3.54-3.70, 2 Ga 3.89
Sc 0.2500 0.6531 0.1242  6 Te 2.89-3.14
Sc 0.7500 0.3469 0.8758  6 Te 2.89-3.14
Ga 0.2500 0.0698 0.6215  4 Te 2.71-2.98
Ga 0.7500 0.9302 0.3785  4 Te 2.71-2.98
Te 0.7500 0.8692 0.1157  1 Ga 2.71, 2 Sc 2.99
Te 0.2500 0.1308 0.8843  1 Ga 2.71, 2 Sc 2.99
Te 0.2500 0.7704 0.4291  3 Ga 2.77-2.98
Te 0.7500 0.2296 0.5709  3 Ga 2.77-2.98
Te 0.7500 0.4525 0.1573  3 Sc 2.89-2.96
Te 0.2500 0.5475 0.8427  3 Sc 2.89-2.96

---

Record 6
Below is a relaxed structure of RbCo2Bi, with properties calculated at the PBE level.

Summary:
**Formation energy**: 0.71 eV/atom
**Crystal system**: tetragonal
**Total energy**: -4.06 eV/atom
**SG**: I4_1/amd
**N(E_F)**: 1.335 states/eV/atom

Cell lengths 5.1027, 5.1027, 9.6824 Å; angles 74.72, 74.72, 90.00 degrees
With the nearest neighbours (Å) after each atom.
Fractional positions:
Co 0.8750 0.1250 0.2500  2 Co 2.55, 2 Bi 2.58
Co 0.8750 0.6250 0.2500  2 Co 2.55, 2 Bi 2.58
Co 0.3750 0.1250 0.7500  2 Co 2.55, 2 Bi 2.58
Co 0.8750 0.1250 0.7500  2 Co 2.55, 2 Bi 2.58
Bi 0.0000 0.0000 0.0000  4 Co 2.58
Bi 0.7500 0.2500 0.5000  4 Co 2.58
Rb 0.5000 0.5000 0.0000  4 Bi 3.61, 8 Co 3.63
Rb 0.2500 0.7500 0.5000  4 Bi 3.61, 8 Co 3.63

---

Record 7
Below is a relaxed structure of TbYMgTl, with properties calculated at the PBE level.

Summary:
**Formation energy**: -0.26 eV/atom
**Crystal system**: cubic
**Total energy**: -4.02 eV/atom
**SG**: F-43m
**N(E_F)**: 0.809 states/eV/atom

Cell lengths 5.3497, 5.3497, 5.3497 Å; angles 60.00, 60.00, 60.00 degrees
With the nearest neighbours (Å) after each atom.
Fractional positions:
Y 0.7500 0.7500 0.7500  4 Tl 3.28, 4 Mg 3.28
Tl 0.0000 0.0000 0.0000  4 Tb 3.28, 4 Y 3.28
Tb 0.2500 0.2500 0.2500  4 Tl 3.28, 4 Mg 3.28
Mg 0.5000 0.5000 0.5000  4 Tb 3.28, 4 Y 3.28

---

Record 8
Below is a relaxed structure of RbMgBi2, with properties calculated at the PBE level.

Summary:
**Formation energy**: -0.12 eV/atom
**Crystal system**: trigonal
**Total energy**: -2.71 eV/atom
**SG**: R-3m
**N(E_F)**: 0.590 states/eV/atom

Cell lengths 5.4093, 5.4093, 7.3541 Å; angles 68.42, 68.42, 60.00 degrees
With the nearest neighbours (Å) after each atom.
Fractional positions:
Mg 0.0000 0.0000 0.0000  6 Bi 3.18
Bi 0.3040 0.3040 0.0881  3 Mg 3.18, 3 Bi 3.34
Bi 0.6960 0.6960 0.9119  3 Mg 3.18, 3 Bi 3.34
Rb 0.5000 0.5000 0.5000  8 Bi 3.92-4.16